CrNi3I | PBE-GGA | relaxed

a b c (Å): 4.6034 4.6034 4.6034
angles (deg): 90.00 90.00 90.00
Last column: nearest neighbours and their distance in Å.
Positions (direct):
1 Cr 0.0000 0.0000 0.0000  12 Ni 3.26
2 Ni 0.0000 0.5000 0.5000  2 I 2.30
3 Ni 0.5000 0.0000 0.5000  2 I 2.30
4 Ni 0.5000 0.5000 0.0000  2 I 2.30
5 I 0.5000 0.5000 0.5000  6 Ni 2.30

Computed properties:
Formation energy without anion corrections (eV/atom): 1.17
Electronic total energy (eV/atom): -4.530
Space-group type: Pm-3m (221)



CrNiI2 | PBE-GGA | relaxed

a b c (Å): 6.1468 6.1468 12.0840
angles (deg): 90.00 90.00 90.00
Last column: nearest neighbours and their distance in Å.
Positions (direct):
1 Cr 0.0000 0.0000 0.0000  4 I 2.76
2 Cr 0.0000 0.5000 0.2500  4 I 2.76
3 Cr 0.5000 0.0000 0.7500  4 I 2.76
4 Cr 0.5000 0.5000 0.5000  4 I 2.76
5 Ni 0.0000 0.0000 0.5000  4 I 2.54
6 Ni 0.0000 0.5000 0.7500  4 I 2.54
7 Ni 0.5000 0.0000 0.2500  4 I 2.54
8 Ni 0.5000 0.5000 0.0000  4 I 2.54
9 I 0.2198 0.2500 0.6250  2 Ni 2.54, 2 Cr 2.76
10 I 0.2500 0.7198 0.8750  2 Ni 2.54, 2 Cr 2.76
11 I 0.2500 0.7802 0.3750  2 Ni 2.54, 2 Cr 2.76
12 I 0.2802 0.2500 0.1250  2 Ni 2.54, 2 Cr 2.76
13 I 0.7198 0.7500 0.1250  2 Ni 2.54, 2 Cr 2.76
14 I 0.7500 0.2198 0.3750  2 Ni 2.54, 2 Cr 2.76
15 I 0.7500 0.2802 0.8750  2 Ni 2.54, 2 Cr 2.76
16 I 0.7802 0.7500 0.6250  2 Ni 2.54, 2 Cr 2.76

Computed properties:
Formation energy without anion corrections (eV/atom): 0.21
Electronic total energy (eV/atom): -4.415
Space-group type: I-42d (122)



CrNiI3 | PBE-GGA | relaxed

a b c (Å): 5.3199 5.3199 5.3199
angles (deg): 90.00 90.00 90.00
Last column: nearest neighbours and their distance in Å.
Positions (direct):
1 Cr 0.0000 0.0000 0.0000  12 I 3.76
2 Ni 0.5000 0.5000 0.5000  6 I 2.66
3 I 0.0000 0.5000 0.5000  2 Ni 2.66
4 I 0.5000 0.0000 0.5000  2 Ni 2.66
5 I 0.5000 0.5000 0.0000  2 Ni 2.66

Computed properties:
Formation energy without anion corrections (eV/atom): 0.43
Electronic total energy (eV/atom): -3.583
Space-group type: Pm-3m (221)



CrNiI2 | PBE-GGA | relaxed

a b c (Å): 7.1536 7.1536 7.1536
angles (deg): 90.00 90.00 90.00
Last column: nearest neighbours and their distance in Å.
Positions (direct):
1 Cr 0.0000 0.0000 0.0000  8 I 3.10
2 Cr 0.0000 0.5000 0.5000  8 I 3.10
3 Cr 0.5000 0.0000 0.5000  8 I 3.10
4 Cr 0.5000 0.5000 0.0000  8 I 3.10
5 Ni 0.0000 0.0000 0.5000  8 I 3.10
6 Ni 0.0000 0.5000 0.0000  8 I 3.10
7 Ni 0.5000 0.0000 0.0000  8 I 3.10
8 Ni 0.5000 0.5000 0.5000  8 I 3.10
9 I 0.2500 0.2500 0.2500  4 Cr 3.10, 4 Ni 3.10
10 I 0.2500 0.2500 0.7500  4 Cr 3.10, 4 Ni 3.10
11 I 0.2500 0.7500 0.2500  4 Cr 3.10, 4 Ni 3.10
12 I 0.2500 0.7500 0.7500  4 Cr 3.10, 4 Ni 3.10
13 I 0.7500 0.2500 0.2500  4 Cr 3.10, 4 Ni 3.10
14 I 0.7500 0.2500 0.7500  4 Cr 3.10, 4 Ni 3.10
15 I 0.7500 0.7500 0.2500  4 Cr 3.10, 4 Ni 3.10
16 I 0.7500 0.7500 0.7500  4 Cr 3.10, 4 Ni 3.10

Computed properties:
Formation energy without anion corrections (eV/atom): 0.67
Electronic total energy (eV/atom): -3.951
Space-group type: Fm-3m (225)



Results for distance to the lowest polymorph of the same formula: 0, 0, 0, 464 (in meV/atom, following the order of the records).